Compound: NaZnIn2Ni
Source: Alexandria
Functional: PBE-GGA
Structure: optimized geometry

a b c (Å): 4.9348 4.9348 4.7753
angles (deg): 90.00 90.00 90.00
Atoms (fractional coordinates):
Na (0.0000, 0.0000, 0.0000)
Zn (0.5000, 0.5000, 0.0000)
In (0.0000, 0.5000, 0.5000)
In (0.5000, 0.0000, 0.5000)
Ni (0.5000, 0.5000, 0.5000)

## Properties
* SG: P4/mmm, No. 123
* formation energy: -0.0546 eV per atom